Record 1
DFT (GGA-PBE) results for a geometry-optimized CuSeO5 structure.

Cell: 7.1212 7.6785 7.1494 Å, 90.00 117.85 90.00°
Space group C2/c (No. 15)
Symmetry-distinct sites (fractional):
Cu1 0.0000 0.1292 0.2500 [4 per cell]
Se1 0.0000 0.5000 0.0000 [4 per cell]
O1 0.0000 0.4224 0.7500 [4 per cell]
O2 0.0452 0.2724 0.4749 [8 per cell]
O3 0.2201 0.0395 0.8589 [8 per cell]

## Properties
E above lowest polymorph ... 379 meV/atom
DOS(E_F) ... 0.699 states/eV/atom
Total energy ... -4.673 eV/atom
Total magnetic moment ... 12.0 μB per cell
ΔE_f (raw) ... -0.049 eV/atom

***

Record 2
DFT (GGA-PBE) results for a geometry-optimized CsDyCuSe2 structure.

Cell: 8.4887 4.6538 8.2403 Å, 90.00 97.78 90.00°
Space group P2/c (No. 13)
Symmetry-distinct sites (fractional):
Cs1 0.0000 0.1538 0.2500 [2 per cell]
Dy1 0.5000 0.4952 0.7500 [2 per cell]
Cu1 0.5000 0.0000 0.0000 [2 per cell]
Se1 0.2856 0.3369 0.9713 [4 per cell]

## Properties
DOS(E_F) ... 0.445 states/eV/atom
Total energy ... -4.322 eV/atom
Total magnetic moment ... 0.0 μB per cell
ΔE_f (raw) ... -1.018 eV/atom

***

Record 3
DFT (GGA-PBE) results for a geometry-optimized SrLa3Nb structure.

Cell: 5.6771 5.6771 5.6771 Å, 90.00 90.00 90.00°
Space group Pm-3m (No. 221)
Symmetry-distinct sites (fractional):
Sr1 0.0000 0.0000 0.0000 [1 per cell]
La1 0.0000 0.0000 0.5000 [3 per cell]
Nb1 0.5000 0.5000 0.5000 [1 per cell]

## Properties
E above lowest polymorph ... 1351 meV/atom
DOS(E_F) ... 2.135 states/eV/atom
Total energy ... -3.669 eV/atom
Total magnetic moment ... 0.0 μB per cell

***

Record 4
DFT (GGA-PBE) results for a geometry-optimized Th2InSi structure.

Cell: 4.9660 4.9660 15.5757 Å, 90.00 90.00 120.00°
Space group R-3m (No. 166, hexagonal axes)
Symmetry-distinct sites (fractional):
Th1 0.0000 0.0000 0.2404 [6 per cell]
In1 0.0000 0.0000 0.0000 [3 per cell]
Si1 0.0000 0.0000 0.5000 [3 per cell]

## Properties
E above lowest polymorph ... 78 meV/atom
DOS(E_F) ... 0.636 states/eV/atom
Total energy ... -6.019 eV/atom
Total magnetic moment ... 0.0 μB per cell
ΔE_f (raw) ... -0.269 eV/atom

***

Record 5
DFT (GGA-PBE) results for a geometry-optimized Ag2SbAu6 structure.

Cell: 14.6365 8.1162 2.9401 Å, 90.00 92.58 90.00°
Space group C2/m (No. 12)
Symmetry-distinct sites (fractional):
Ag1 0.1861 0.0000 0.4927 [4 per cell]
Sb1 0.0000 0.5000 0.0000 [2 per cell]
Au1 0.0000 0.1688 0.5000 [4 per cell]
Au2 0.1632 0.3149 0.9988 [8 per cell]

## Properties
E above lowest polymorph ... 4 meV/atom
DOS(E_F) ... 0.320 states/eV/atom
Total energy ... -3.240 eV/atom
Total magnetic moment ... 0.0 μB per cell
ΔE_f (raw) ... 0.037 eV/atom

***

Record 6
DFT (GGA-PBE) results for a geometry-optimized AcTm2RhO8 structure.

Cell: 5.0046 7.0344 5.0196 Å, 90.00 90.04 90.00°
Space group P2/m (No. 10)
Symmetry-distinct sites (fractional):
Ac1 0.0000 0.0000 0.0000 [1 per cell]
Tm1 0.5000 0.2644 0.5000 [2 per cell]
Rh1 0.0000 0.5000 0.0000 [1 per cell]
O1 0.1906 0.2996 0.8122 [4 per cell]
O2 0.2799 0.5000 0.2822 [2 per cell]
O3 0.3280 0.0000 0.3306 [2 per cell]

## Properties
DOS(E_F) ... 0.450 states/eV/atom
Total energy ... -7.236 eV/atom
Total magnetic moment ... 2.4 μB per cell
ΔE_f (raw) ... -2.230 eV/atom

***

Record 7
DFT (GGA-PBE) results for a geometry-optimized CdNi3As structure.

Cell: 4.6292 4.6292 4.6292 Å, 90.00 90.00 90.00°
Space group Pm-3m (No. 221)
Symmetry-distinct sites (fractional):
Cd1 0.0000 0.0000 0.0000 [1 per cell]
Ni1 0.0000 0.0000 0.5000 [3 per cell]
As1 0.5000 0.5000 0.5000 [1 per cell]

## Properties
E above lowest polymorph ... 1354 meV/atom
DOS(E_F) ... 1.025 states/eV/atom
Total energy ... -3.250 eV/atom
Total magnetic moment ... 0.0 μB per cell

***

Record 8
DFT (GGA-PBE) results for a geometry-optimized PuSc4Se5 structure.

Cell: 3.9215 5.5688 19.6115 Å, 90.00 90.00 90.00°
Space group Immm (No. 71)
Symmetry-distinct sites (fractional):
Pu1 0.0000 0.0000 0.0000 [2 per cell]
Sc1 0.0000 0.0000 0.2020 [4 per cell]
Sc2 0.0000 0.0000 0.4011 [4 per cell]
Se1 0.0000 0.5000 0.0000 [2 per cell]
Se2 0.0000 0.5000 0.1989 [4 per cell]
Se3 0.0000 0.5000 0.3929 [4 per cell]

## Properties
DOS(E_F) ... 0.959 states/eV/atom
Total energy ... -7.289 eV/atom
Total magnetic moment ... 11.7 μB per cell
ΔE_f (raw) ... -1.581 eV/atom